The following is a PBE calculation of a relaxed Zr5ReOs4 crystal, from Alexandria.

Cell: 3.2841 3.2841 16.5133 Å, 90.00 90.00 90.00°
Space group P4/mmm (No. 123)
Unique sites:
Zr (0.0000, 0.0000, 0.0000) (multiplicity 1)
Zr (0.0000, 0.0000, 0.2006) (multiplicity 2)
Zr (0.0000, 0.0000, 0.4006) (multiplicity 2)
Re (0.5000, 0.5000, 0.5000) (multiplicity 1)
Os (0.5000, 0.5000, 0.0993) (multiplicity 2)
Os (0.5000, 0.5000, 0.2977) (multiplicity 2)

Computed properties:
energy of formation: -0.4752 eV per atom